Computed, not measured: crystalline Pm2HoTl9 at its relaxed geometry at the PBE level of DFT.

Calculated values
Space group: No. 123
Formation enthalpy at 0 K (eV per atom): -0.278
Volume (Å³ per atom): 27.638

```
Pm2HoTl9
1.0
4.800 0.000 0.000
0.000 4.800 0.000
0.000 0.000 14.394
Tl Pm Ho
9 2 1
direct
0.500 0.500 0.332
0.500 0.000 0.836
0.500 0.500 0.668
0.500 0.000 0.500
0.500 0.500 0.000
0.000 0.500 0.164
0.000 0.500 0.500
0.500 0.000 0.164
0.000 0.500 0.836
0.000 0.000 0.332
0.000 0.000 0.668
0.000 0.000 0.000
```

---

Computed, not measured: crystalline K2Hg5Au at its relaxed geometry at the PBE level of DFT.

Calculated values
Space group: No. 63
E above lowest polymorph (meV/atom): 0.0
Formation enthalpy at 0 K (eV per atom): -0.223
Volume (Å³ per atom): 31.030

```
K2Hg5Au
1.0
-0.993 -0.364 4.954
2.711 -8.821 -2.694
10.052 2.419 2.192
Hg K Au
10 4 2
direct
0.355 0.710 0.971
0.645 0.290 0.471
0.806 0.613 0.108
0.355 0.710 0.529
0.645 0.290 0.029
0.404 0.808 0.250
0.806 0.613 0.392
0.596 0.192 0.750
0.194 0.387 0.892
0.194 0.387 0.608
0.000 0.000 0.500
0.194 0.388 0.250
0.000 0.000 0.000
0.806 0.612 0.750
0.443 0.885 0.750
0.557 0.115 0.250
```

---

Computed, not measured: crystalline Li2PmIn at its relaxed geometry at the PBE level of DFT.

Calculated values
Space group: No. 225
Formation enthalpy at 0 K (eV per atom): -0.309
Volume (Å³ per atom): 21.172

```
Li2PmIn
1.0
4.929 0.009 0.006
2.456 4.273 0.006
2.456 1.424 4.029
Li Pm In
2 1 1
direct
0.500 0.500 0.500
0.000 0.000 0.000
0.250 0.250 0.250
0.750 0.750 0.750
```

---

Computed, not measured: crystalline LiVRh at its relaxed geometry at the PBE level of DFT.

Calculated values
Space group: No. 2
E above lowest polymorph (meV/atom): 188.4
Formation enthalpy at 0 K (eV per atom): -0.109
Volume (Å³ per atom): 13.447

```
LiVRh
1.0
4.374 -0.012 0.016
0.822 4.437 -0.024
0.527 2.060 4.145
V Li Rh
2 2 2
direct
0.741 0.589 0.290
0.259 0.411 0.710
0.747 0.918 0.641
0.253 0.082 0.359
0.244 0.747 0.025
0.756 0.253 0.975
```

---

Computed, not measured: crystalline ZrTeBr2 at its relaxed geometry at the PBE level of DFT.

Calculated values
Space group: No. 166
E above lowest polymorph (meV/atom): 345.6
Formation energy from raw total energies (eV per atom): -0.7353
Volume (Å³ per atom): 30.640

```
ZrTeBr2
1.0
1.970 0.000 12.155
-0.985 1.706 12.155
-0.985 -1.706 12.155
Br Te Zr
2 1 1
direct
0.886 0.886 0.886
0.114 0.114 0.114
0.000 0.000 0.000
0.500 0.500 0.500
```

---

Computed, not measured: crystalline ZrCuW2 at its relaxed geometry at the PBE level of DFT.

Calculated values
Space group: No. 65
E above lowest polymorph (meV/atom): 314.1
Formation enthalpy at 0 K (eV per atom): 0.437
Volume (Å³ per atom): 16.858

```
ZrCuW2
1.0
-0.743 -0.027 -5.257
-4.324 -0.215 3.073
-0.130 2.690 0.005
Cu W Zr
1 2 1
direct
0.000 0.500 0.500
0.000 0.000 0.000
0.500 0.500 0.000
0.500 0.000 0.500
```

---

Q: Among the records above, which one has the lowest volume?
A: LiVRh

---

Please write out number 2 again, unchanged.
Computed, not measured: crystalline K2Hg5Au at its relaxed geometry at the PBE level of DFT.

Calculated values
Space group: No. 63
E above lowest polymorph (meV/atom): 0.0
Formation enthalpy at 0 K (eV per atom): -0.223
Volume (Å³ per atom): 31.030

```
K2Hg5Au
1.0
-0.993 -0.364 4.954
2.711 -8.821 -2.694
10.052 2.419 2.192
Hg K Au
10 4 2
direct
0.355 0.710 0.971
0.645 0.290 0.471
0.806 0.613 0.108
0.355 0.710 0.529
0.645 0.290 0.029
0.404 0.808 0.250
0.806 0.613 0.392
0.596 0.192 0.750
0.194 0.387 0.892
0.194 0.387 0.608
0.000 0.000 0.500
0.194 0.388 0.250
0.000 0.000 0.000
0.806 0.612 0.750
0.443 0.885 0.750
0.557 0.115 0.250
```

---

Q: Number 1 is which compound?
A: Pm2HoTl9